a | Density functional theory data (PBE-GGA) for a relaxed LiSiSbOs crystal.

```
LiSiSbOs
1.0
6.272 0.000 0.000
0.000 6.272 0.000
0.000 0.000 6.272
Li Si Sb Os
4 4 4 4
Direct
0.000 0.000 0.000 Li
0.000 0.500 0.500 Li
0.500 0.000 0.500 Li
0.500 0.500 0.000 Li
0.250 0.250 0.250 Si
0.250 0.750 0.750 Si
0.750 0.250 0.750 Si
0.750 0.750 0.250 Si
0.250 0.250 0.750 Sb
0.250 0.750 0.250 Sb
0.750 0.250 0.250 Sb
0.750 0.750 0.750 Sb
0.000 0.000 0.500 Os
0.000 0.500 0.000 Os
0.500 0.000 0.000 Os
0.500 0.500 0.500 Os
```

Summary:
Symmetry: No. 216

b | Density functional theory data (PBE-GGA) for a relaxed LiSiSbOs crystal.

```
LiSiSbOs
1.0
6.301 0.000 0.000
0.000 6.301 0.000
0.000 0.000 6.301
Li Si Sb Os
4 4 4 4
Direct
0.000 0.000 0.000 Li
0.000 0.500 0.500 Li
0.500 0.000 0.500 Li
0.500 0.500 0.000 Li
0.000 0.000 0.500 Si
0.000 0.500 0.000 Si
0.500 0.000 0.000 Si
0.500 0.500 0.500 Si
0.250 0.250 0.750 Sb
0.250 0.750 0.250 Sb
0.750 0.250 0.250 Sb
0.750 0.750 0.750 Sb
0.250 0.250 0.250 Os
0.250 0.750 0.750 Os
0.750 0.250 0.750 Os
0.750 0.750 0.250 Os
```

Summary:
Symmetry: No. 216

If we sort the structures by their calculated energies, the order from most to least stable is a, b.

a | Density functional theory data (PBE-GGA) for a relaxed LiSiOs crystal.

```
LiSiOs
1.0
5.561 0.000 0.000
0.000 5.561 0.000
0.000 0.000 5.561
Li Si Os
4 4 4
Direct
0.000 0.000 0.000 Li
0.000 0.500 0.500 Li
0.500 0.000 0.500 Li
0.500 0.500 0.000 Li
0.250 0.250 0.250 Si
0.250 0.750 0.750 Si
0.750 0.250 0.750 Si
0.750 0.750 0.250 Si
0.000 0.000 0.500 Os
0.000 0.500 0.000 Os
0.500 0.000 0.000 Os
0.500 0.500 0.500 Os
```

Summary:
Symmetry: No. 216

b | Density functional theory data (PBE-GGA) for a relaxed LiSiOs crystal.

```
LiSiOs
1.0
5.631 0.000 0.000
0.000 5.631 0.000
0.000 0.000 5.631
Li Si Os
4 4 4
Direct
0.000 0.000 0.000 Li
0.000 0.500 0.500 Li
0.500 0.000 0.500 Li
0.500 0.500 0.000 Li
0.000 0.000 0.500 Si
0.000 0.500 0.000 Si
0.500 0.000 0.000 Si
0.500 0.500 0.500 Si
0.250 0.250 0.250 Os
0.250 0.750 0.750 Os
0.750 0.250 0.750 Os
0.750 0.750 0.250 Os
```

Summary:
Symmetry: No. 216

If we sort the structures by their calculated energies, the order from most to least stable is a, b.

a | Density functional theory data (PBE-GGA) for a relaxed LiTaSiOs crystal.

```
LiTaSiOs
1.0
6.064 0.000 0.000
0.000 6.064 0.000
0.000 0.000 6.064
Li Ta Si Os
4 4 4 4
Direct
0.000 0.000 0.000 Li
0.000 0.500 0.500 Li
0.500 0.000 0.500 Li
0.500 0.500 0.000 Li
0.250 0.250 0.250 Ta
0.250 0.750 0.750 Ta
0.750 0.250 0.750 Ta
0.750 0.750 0.250 Ta
0.250 0.250 0.750 Si
0.250 0.750 0.250 Si
0.750 0.250 0.250 Si
0.750 0.750 0.750 Si
0.000 0.000 0.500 Os
0.000 0.500 0.000 Os
0.500 0.000 0.000 Os
0.500 0.500 0.500 Os
```

Summary:
Symmetry: No. 216

b | Density functional theory data (PBE-GGA) for a relaxed LiTaSiOs crystal.

```
LiTaSiOs
1.0
6.109 0.000 0.000
0.000 6.109 0.000
0.000 0.000 6.109
Li Ta Si Os
4 4 4 4
Direct
0.000 0.000 0.000 Li
0.000 0.500 0.500 Li
0.500 0.000 0.500 Li
0.500 0.500 0.000 Li
0.000 0.000 0.500 Ta
0.000 0.500 0.000 Ta
0.500 0.000 0.000 Ta
0.500 0.500 0.500 Ta
0.250 0.250 0.750 Si
0.250 0.750 0.250 Si
0.750 0.250 0.250 Si
0.750 0.750 0.750 Si
0.250 0.250 0.250 Os
0.250 0.750 0.750 Os
0.750 0.250 0.750 Os
0.750 0.750 0.250 Os
```

Summary:
Symmetry: No. 216

If we sort the structures by their calculated energies, the order from most to least stable is a, b.

a | Density functional theory data (PBE-GGA) for a relaxed LiTaSiOs crystal.

```
LiTaSiOs
1.0
6.012 0.000 0.000
0.000 6.012 0.000
0.000 0.000 6.012
Li Ta Si Os
4 4 4 4
Direct
0.000 0.000 0.000 Li
0.000 0.500 0.500 Li
0.500 0.000 0.500 Li
0.500 0.500 0.000 Li
0.250 0.250 0.250 Ta
0.250 0.750 0.750 Ta
0.750 0.250 0.750 Ta
0.750 0.750 0.250 Ta
0.000 0.000 0.500 Si
0.000 0.500 0.000 Si
0.500 0.000 0.000 Si
0.500 0.500 0.500 Si
0.250 0.250 0.750 Os
0.250 0.750 0.250 Os
0.750 0.250 0.250 Os
0.750 0.750 0.750 Os
```

Summary:
Symmetry: No. 216

b | Density functional theory data (PBE-GGA) for a relaxed LiTaSiOs crystal.

```
LiTaSiOs
1.0
6.066 0.000 0.000
0.000 6.066 0.000
0.000 0.000 6.066
Li Ta Si Os
4 4 4 4
Direct
0.000 0.000 0.000 Li
0.000 0.500 0.500 Li
0.500 0.000 0.500 Li
0.500 0.500 0.000 Li
0.250 0.250 0.250 Ta
0.250 0.750 0.750 Ta
0.750 0.250 0.750 Ta
0.750 0.750 0.250 Ta
0.250 0.250 0.750 Si
0.250 0.750 0.250 Si
0.750 0.250 0.250 Si
0.750 0.750 0.750 Si
0.000 0.000 0.500 Os
0.000 0.500 0.000 Os
0.500 0.000 0.000 Os
0.500 0.500 0.500 Os
```

Summary:
Symmetry: No. 216

If we sort the structures by their calculated energies, the order from most to least stable is b, a.